Record 1
The following is a DFT calculation (GGA-PBE) of an optimized crystal structure of LiCr2MoC.

a b c (Å): 4.797 4.797 4.087
angles (deg): 90.00 90.00 90.00
Positions (direct):
Li (0.000, 0.000, 0.000)
Cr (0.000, 0.500, 0.500)
Cr (0.500, 0.000, 0.500)
Mo (0.500, 0.500, 0.500)
C (0.500, 0.500, 0.000)

Calculated values
Energy relative to the elements = 33.31 kcal/mol of atoms
DOS(E_F) = 0.816 states/eV/atom

***

Record 2
The following is a DFT calculation (GGA-PBE) of an optimized crystal structure of LiCr2CN.

a b c (Å): 3.891 3.891 3.687
angles (deg): 90.00 90.00 90.00
Positions (direct):
Li (0.000, 0.000, 0.000)
Cr (0.000, 0.500, 0.500)
Cr (0.500, 0.000, 0.500)
C (0.000, 0.000, 0.500)
N (0.500, 0.500, 0.000)

Calculated values
DOS(E_F) = 0.451 states/eV/atom
Energy relative to the elements, uncorrected = 0.7224 eV per atom

***

Record 3
The following is a DFT calculation (GGA-PBE) of an optimized crystal structure of LiCrNi2C.

a b c (Å): 3.796 3.796 3.893
angles (deg): 90.00 90.00 90.00
Positions (direct):
Li (0.000, 0.000, 0.000)
Cr (0.500, 0.500, 0.000)
Ni (0.000, 0.500, 0.500)
Ni (0.500, 0.000, 0.500)
C (0.500, 0.500, 0.500)

Calculated values
Energy relative to the elements = 1.64 kcal/mol of atoms
DOS(E_F) = 0.618 states/eV/atom

***

- Look up the DOS(E_F) of the second one.
  0.451 states/eV/atom

***

- Among the records above, which one has the lowest DOS(E_F)?
  LiCr2CN